(1)
Material: ScTi5Ga6
Method: DFT, PBE
State: optimized geometry Values from VASP.

Quantum ESPRESSO input file:
```
&SYSTEM
  ibrav = 0, nat = 12, ntyp = 3
/
ATOMIC_SPECIES
Sc 44.96 Sc.upf
Ti 47.87 Ti.upf
Ga 69.72 Ga.upf
CELL_PARAMETERS angstrom
6.932 -2.873 0.000
6.932 2.873 0.000
-0.071 0.000 4.878
ATOMIC_POSITIONS crystal
Sc 0.000 0.000 0.000
Ti 0.168 0.168 0.657
Ti 0.334 0.334 0.333
Ti 0.500 0.500 0.000
Ti 0.666 0.666 0.667
Ti 0.832 0.832 0.343
Ga 0.084 0.577 0.835
Ga 0.257 0.743 0.500
Ga 0.423 0.916 0.165
Ga 0.577 0.084 0.835
Ga 0.743 0.257 0.500
Ga 0.916 0.423 0.165
```

Output
energy above the lowest structure with this stoichiometry: 0 meV per atom
SG: C2/m (12)
DFT formation energy: -0.463 eV per atom

=====

(2)
Material: Sc3CoOs
Method: DFT, PBE
State: optimized geometry Values from VASP.

Quantum ESPRESSO input file:
```
&SYSTEM
  ibrav = 0, nat = 5, ntyp = 3
/
ATOMIC_SPECIES
Sc 44.96 Sc.upf
Co 58.93 Co.upf
Os 190.23 Os.upf
CELL_PARAMETERS angstrom
4.626 0.000 0.000
0.000 4.626 0.000
0.000 0.000 4.626
ATOMIC_POSITIONS crystal
Sc 0.000 0.000 0.500
Sc 0.000 0.500 0.000
Sc 0.500 0.000 0.000
Co 0.000 0.000 0.000
Os 0.500 0.500 0.500
```

Output
energy above the lowest structure with this stoichiometry: 0 meV per atom
SG: Pm-3m (221)
DFT formation energy: 0.315 eV per atom

=====

(3)
Material: Co2TcTe
Method: DFT, PBE
State: optimized geometry Values from VASP.

Quantum ESPRESSO input file:
```
&SYSTEM
  ibrav = 0, nat = 16, ntyp = 3
/
ATOMIC_SPECIES
Co 58.93 Co.upf
Tc 98.00 Tc.upf
Te 127.60 Te.upf
CELL_PARAMETERS angstrom
5.490 0.000 0.000
0.000 5.490 0.000
0.000 0.000 10.593
ATOMIC_POSITIONS crystal
Co 0.220 0.250 0.125
Co 0.250 0.720 0.375
Co 0.250 0.780 0.875
Co 0.280 0.250 0.625
Co 0.720 0.750 0.625
Co 0.750 0.220 0.875
Co 0.750 0.280 0.375
Co 0.780 0.750 0.125
Tc 0.000 0.000 0.000
Tc 0.000 0.500 0.250
Tc 0.500 0.000 0.750
Tc 0.500 0.500 0.500
Te 0.000 0.000 0.500
Te 0.000 0.500 0.750
Te 0.500 0.000 0.250
Te 0.500 0.500 0.000
```

Output
SG: I-42d (122)
energy relative to the elements, uncorrected: 0.793 eV/atom

=====

(4)
Material: RePNF2
Method: DFT, PBE
State: optimized geometry Values from VASP.

Quantum ESPRESSO input file:
```
&SYSTEM
  ibrav = 0, nat = 5, ntyp = 4
/
ATOMIC_SPECIES
Re 186.21 Re.upf
P 30.97 P.upf
N 14.01 N.upf
F 19.00 F.upf
CELL_PARAMETERS angstrom
4.210 0.000 0.000
0.000 4.210 0.000
0.000 0.000 3.844
ATOMIC_POSITIONS crystal
Re 0.000 0.000 0.000
P 0.500 0.500 0.500
N 0.000 0.000 0.500
F 0.000 0.500 0.000
F 0.500 0.000 0.000
```

Output
energy above the lowest structure with this stoichiometry: 0 meV per atom
SG: P4/mmm (123)
energy relative to the elements, uncorrected: 0.121 eV/atom

=====

(5)
Material: K4RbHg
Method: DFT, PBE
State: optimized geometry Values from VASP.

Quantum ESPRESSO input file:
```
&SYSTEM
  ibrav = 0, nat = 6, ntyp = 3
/
ATOMIC_SPECIES
K 39.10 K.upf
Rb 85.47 Rb.upf
Hg 200.59 Hg.upf
CELL_PARAMETERS angstrom
0.000 5.972 5.972
5.972 0.000 5.972
5.972 5.972 0.000
ATOMIC_POSITIONS crystal
K 0.376 0.376 0.376
K 0.376 0.376 0.873
K 0.376 0.873 0.376
K 0.873 0.376 0.376
Rb 0.000 0.000 0.000
Hg 0.750 0.750 0.750
```

Output
energy above the lowest structure with this stoichiometry: 142 meV per atom
SG: F-43m (216)
DFT formation energy: 0.064 eV per atom

=====

(6)
Material: Dy3TmMn8
Method: DFT, PBE
State: optimized geometry Values from VASP.

Quantum ESPRESSO input file:
```
&SYSTEM
  ibrav = 0, nat = 12, ntyp = 3
/
ATOMIC_SPECIES
Dy 162.50 Dy.upf
Tm 168.93 Tm.upf
Mn 54.94 Mn.upf
CELL_PARAMETERS angstrom
2.690 1.553 7.991
-2.690 1.553 7.991
0.000 -3.106 7.991
ATOMIC_POSITIONS crystal
Dy 0.000 0.000 0.000
Dy 0.127 0.127 0.127
Dy 0.500 0.500 0.500
Tm 0.627 0.627 0.627
Mn 0.062 0.564 0.564
Mn 0.064 0.064 0.564
Mn 0.064 0.564 0.064
Mn 0.314 0.314 0.314
Mn 0.564 0.062 0.564
Mn 0.564 0.064 0.064
Mn 0.564 0.564 0.062
Mn 0.814 0.814 0.814
```

Output
SG: R3m (160)
DFT formation energy: 0.046 eV per atom

=====

(7)
Material: AlCr2Rh8
Method: DFT, PBE
State: optimized geometry Values from VASP.

Quantum ESPRESSO input file:
```
&SYSTEM
  ibrav = 0, nat = 11, ntyp = 3
/
ATOMIC_SPECIES
Al 26.98 Al.upf
Cr 52.00 Cr.upf
Rh 102.91 Rh.upf
CELL_PARAMETERS angstrom
-1.994 3.479 5.585
1.994 -3.479 5.585
1.994 3.479 -5.585
ATOMIC_POSITIONS crystal
Al 0.000 0.000 0.000
Cr 0.299 0.299 0.000
Cr 0.701 0.701 0.000
Rh 0.126 0.840 0.286
Rh 0.143 0.643 0.500
Rh 0.317 0.500 0.817
Rh 0.446 0.160 0.286
Rh 0.554 0.840 0.714
Rh 0.683 0.500 0.183
Rh 0.857 0.357 0.500
Rh 0.874 0.160 0.714
```

Output
SG: Immm (71)
DFT formation energy: -0.131 eV per atom

=====

(8)
Material: InGePdS2
Method: DFT, PBE
State: optimized geometry Values from VASP.

Quantum ESPRESSO input file:
```
&SYSTEM
  ibrav = 0, nat = 5, ntyp = 4
/
ATOMIC_SPECIES
In 114.82 In.upf
Ge 72.64 Ge.upf
Pd 106.42 Pd.upf
S 32.06 S.upf
CELL_PARAMETERS angstrom
5.020 0.000 0.000
0.000 5.020 0.000
0.000 0.000 5.015
ATOMIC_POSITIONS crystal
In 0.000 0.000 0.000
Ge 0.500 0.500 0.500
Pd 0.000 0.000 0.500
S 0.000 0.500 0.000
S 0.500 0.000 0.000
```

Output
SG: P4/mmm (123)
energy relative to the elements, uncorrected: 0.625 eV/atom

=====

| no. | Fermi-level density of states (states/eV per atom) | total magnetization (μB/atom) |
| --- | --- | --- |
| 1 | 0.925 | 0.0843 |
| 2 | 0.929 | 0.0000 |
| 3 | 1.638 | 0.0000 |
| 4 | 0.787 | 0.4448 |
| 5 | 0.805 | 0.0000 |
| 6 | 1.173 | 0.7022 |
| 7 | 1.152 | 0.0002 |
| 8 | 0.652 | 0.0000 |